Entry 1:
Density functional theory data (SCAN) for a crystal of MgSc2Rh relaxed with PBEsol.

Calculated values
Calculated volume = 19.55 A^3/atom
Energy of formation = -1.92 eV per formula unit
Total moment = 1.08 Bohr magnetons per cell
Calculated density = 4.6 g cm⁻³

a b c (Å): 3.199 3.199 7.639
angles (deg): 90.00 90.00 90.00
Space group P4mm (No. 99)
One atom of each set of equivalent atoms:
Mg (0.000, 0.000, 0.000) [1 per cell]
Sc (0.000, 0.000, 0.394) [1 per cell]
Sc (0.500, 0.500, 0.704) [1 per cell]
Rh (0.500, 0.500, 0.207) [1 per cell]



Entry 2:
Density functional theory data (SCAN) for a crystal of MgSc2Rh relaxed with PBEsol.

Calculated values
Calculated volume = 18.46 A^3/atom
Energy of formation = -2.05 eV per formula unit
Total moment = 0.00 Bohr magnetons per cell
Calculated density = 4.9 g cm⁻³

a b c (Å): 4.613 4.613 3.470
angles (deg): 90.00 90.00 90.00
Space group P4/mmm (No. 123)
One atom of each set of equivalent atoms:
Mg (0.000, 0.000, 0.000) [1 per cell]
Sc (0.000, 0.500, 0.500) [2 per cell]
Rh (0.500, 0.500, 0.000) [1 per cell]



Entry 3:
Density functional theory data (SCAN) for a crystal of MgSc2Rh relaxed with PBEsol.

Calculated values
Calculated volume = 19.20 A^3/atom
Energy of formation = -1.57 eV per formula unit
Total moment = 0.00 Bohr magnetons per cell
Calculated density = 4.7 g cm⁻³

a b c (Å): 3.172 4.419 5.705
angles (deg): 90.00 106.14 90.00
Space group Pm (No. 6)
One atom of each set of equivalent atoms:
Mg (0.000, 0.000, 0.000) [1 per cell]
Sc (0.389, 0.500, 0.779) [1 per cell]
Sc (0.723, 0.000, 0.447) [1 per cell]
Rh (0.148, 0.500, 0.300) [1 per cell]



Entry 4:
Density functional theory data (SCAN) for a crystal of MgScRh relaxed with PBEsol.

Calculated values
Calculated volume = 18.10 A^3/atom
Energy of formation = -2.10 eV per formula unit
Total moment = 0.00 Bohr magnetons per cell
Calculated density = 5.3 g cm⁻³

a b c (Å): 3.191 3.191 10.665
angles (deg): 90.00 90.00 90.00
Space group I4mm (No. 107)
One atom of each set of equivalent atoms:
Mg (0.000, 0.000, 0.000) [2 per cell]
Sc (0.000, 0.000, 0.282) [2 per cell]
Rh (0.000, 0.000, 0.649) [2 per cell]



Entry 5:
Density functional theory data (SCAN) for a crystal of MgSc2Rh relaxed with PBEsol.

Calculated values
Calculated volume = 19.32 A^3/atom
Energy of formation = -2.13 eV per formula unit
Total moment = 0.01 Bohr magnetons per cell
Calculated density = 4.7 g cm⁻³

a b c (Å): 3.621 4.930 8.659
angles (deg): 90.00 90.00 90.00
Space group Immm (No. 71)
One atom of each set of equivalent atoms:
Mg (0.000, 0.000, 0.000) [2 per cell]
Sc (0.000, 0.500, 0.208) [4 per cell]
Rh (0.000, 0.000, 0.500) [2 per cell]



Entry 6:
Density functional theory data (SCAN) for a crystal of MgRhSe4 relaxed with PBEsol.

Calculated values
Calculated volume = 19.91 A^3/atom
Total moment = 0.00 Bohr magnetons per cell
Calculated density = 6.2 g cm⁻³
Energy relative to the elements, uncorrected = 0.71 eV per atom

a b c (Å): 7.819 7.819 7.819
angles (deg): 90.00 90.00 90.00
Space group F-43m (No. 216)
One atom of each set of equivalent atoms:
Mg (0.000, 0.000, 0.000) [4 per cell]
Rh (0.250, 0.250, 0.250) [4 per cell]
Se (0.124, 0.124, 0.624) [16 per cell]



Entry 7:
Density functional theory data (SCAN) for a crystal of MgRhSe relaxed with PBEsol.

Calculated values
Calculated volume = 18.02 A^3/atom
Total moment = 0.00 Bohr magnetons per cell
Calculated density = 6.3 g cm⁻³
Energy relative to the elements, uncorrected = -0.08 eV per atom

a b c (Å): 6.002 6.002 6.002
angles (deg): 90.00 90.00 90.00
Space group F-43m (No. 216)
One atom of each set of equivalent atoms:
Mg (0.000, 0.000, 0.000) [4 per cell]
Rh (0.250, 0.250, 0.750) [4 per cell]
Se (0.250, 0.250, 0.250) [4 per cell]



Entry 8:
Density functional theory data (SCAN) for a crystal of MgRh3Se relaxed with PBEsol.

Calculated values
Calculated volume = 18.24 A^3/atom
Total moment = 0.00 Bohr magnetons per cell
Calculated density = 7.5 g cm⁻³
Energy relative to the elements, uncorrected = 0.15 eV per atom

a b c (Å): 4.501 4.501 4.501
angles (deg): 90.00 90.00 90.00
Space group Pm-3m (No. 221)
One atom of each set of equivalent atoms:
Mg (0.000, 0.000, 0.000) [1 per cell]
Rh (0.000, 0.500, 0.500) [3 per cell]
Se (0.500, 0.500, 0.500) [1 per cell]



Entry 9:
Density functional theory data (SCAN) for a crystal of Mg2Si2Rh relaxed with PBEsol.

Calculated values
Calculated volume = 16.00 A^3/atom
Total moment = 0.00 Bohr magnetons per cell
Calculated density = 4.3 g cm⁻³
Energy relative to the elements, uncorrected = -0.49 eV per atom

a b c (Å): 6.220 6.220 4.137
angles (deg): 90.00 90.00 90.00
Space group P4/mbm (No. 127)
One atom of each set of equivalent atoms:
Mg (0.176, 0.324, 0.000) [4 per cell]
Si (0.134, 0.634, 0.500) [4 per cell]
Rh (0.000, 0.000, 0.500) [2 per cell]



Entry 10:
Density functional theory data (SCAN) for a crystal of Mg2SiRh relaxed with PBEsol.

Calculated values
Calculated volume = 15.16 A^3/atom
Total moment = 0.00 Bohr magnetons per cell
Calculated density = 4.9 g cm⁻³
Energy relative to the elements, uncorrected = -0.33 eV per atom

a b c (Å): 3.852 3.852 8.177
angles (deg): 90.00 90.00 90.00
Space group I4/mmm (No. 139)
One atom of each set of equivalent atoms:
Mg (0.000, 0.500, 0.250) [4 per cell]
Si (0.000, 0.000, 0.000) [2 per cell]
Rh (0.000, 0.000, 0.500) [2 per cell]



Entry 11:
Density functional theory data (SCAN) for a crystal of Sm4MgRh relaxed with PBEsol.

Calculated values
Calculated volume = 27.10 A^3/atom
Energy of formation = -2.56 eV per formula unit
Total moment = 0.00 Bohr magnetons per cell
Calculated density = 7.4 g cm⁻³

a b c (Å): 13.754 13.754 13.754
angles (deg): 90.00 90.00 90.00
Space group F-43m (No. 216)
One atom of each set of equivalent atoms:
Sm (0.000, 0.000, 0.187) [24 per cell]
Sm (0.063, 0.250, 0.250) [24 per cell]
Sm (0.153, 0.153, 0.653) [16 per cell]
Mg (0.080, 0.080, 0.420) [16 per cell]
Rh (0.142, 0.142, 0.858) [16 per cell]



Entry 12:
Density functional theory data (SCAN) for a crystal of MgSn2Rh2 relaxed with PBEsol.

Calculated values
Calculated volume = 17.77 A^3/atom
Energy of formation = -2.35 eV per formula unit
Total moment = 0.00 Bohr magnetons per cell
Calculated density = 8.7 g cm⁻³

a b c (Å): 7.245 7.245 3.385
angles (deg): 90.00 90.00 90.00
Space group P4/mbm (No. 127)
One atom of each set of equivalent atoms:
Mg (0.000, 0.000, 0.000) [2 per cell]
Sn (0.154, 0.346, 0.500) [4 per cell]
Rh (0.143, 0.643, 0.000) [4 per cell]



Please write out number 11 again, unchanged.
Density functional theory data (SCAN) for a crystal of Sm4MgRh relaxed with PBEsol.

Calculated values
Calculated volume = 27.10 A^3/atom
Energy of formation = -2.56 eV per formula unit
Total moment = 0.00 Bohr magnetons per cell
Calculated density = 7.4 g cm⁻³

a b c (Å): 13.754 13.754 13.754
angles (deg): 90.00 90.00 90.00
Space group F-43m (No. 216)
One atom of each set of equivalent atoms:
Sm (0.000, 0.000, 0.187) [24 per cell]
Sm (0.063, 0.250, 0.250) [24 per cell]
Sm (0.153, 0.153, 0.653) [16 per cell]
Mg (0.080, 0.080, 0.420) [16 per cell]
Rh (0.142, 0.142, 0.858) [16 per cell]